Material: Hf2TaC3
Method: DFT, PBE-GGA
State: relaxed

Cell lengths 4.594, 6.481, 9.725 Å; angles 90.00, 90.00, 90.00 degrees
Fractional coordinates of all 24 atoms:
Hf: 0.250 0.875 0.749
Hf: 0.250 0.375 0.751
Hf: 0.250 0.873 0.417
Hf: 0.250 0.373 0.083
Hf: 0.750 0.627 0.917
Hf: 0.750 0.127 0.583
Hf: 0.750 0.625 0.249
Hf: 0.750 0.125 0.251
Ta: 0.250 0.876 0.084
Ta: 0.250 0.376 0.416
Ta: 0.750 0.624 0.584
Ta: 0.750 0.124 0.916
C: 0.250 0.621 0.581
C: 0.250 0.121 0.919
C: 0.250 0.630 0.919
C: 0.250 0.130 0.581
C: 0.250 0.624 0.251
C: 0.250 0.124 0.249
C: 0.750 0.876 0.751
C: 0.750 0.376 0.749
C: 0.750 0.870 0.419
C: 0.750 0.370 0.081
C: 0.750 0.879 0.081
C: 0.750 0.379 0.419

Properties
Symmetry   Pnma (62)
Formation energy from the elements   -5.1 eV per formula unit
Size of the total moment   0.0 Bohr magnetons per cell
Polymorph energy (0 for the lowest one)   0 meV per atom